Entry 1:
The following is a DFT calculation (PBE-GGA) of Hf2AlSb2 after structural relaxation.

Values from the calculation:
space group: P4/mbm
calculated total energy: -6.47 eV per atom
relative energy among the computed polymorphs: 76 kJ/mol of formula units
formation energy (no corrections): -0.095 eV/atom

a b c (Å): 7.845 7.845 3.729
angles (deg): 90.00 90.00 90.00
Fractional coordinates of all 10 atoms:
Hf  0.141  0.359  0.000
Hf  0.359  0.859  0.000
Hf  0.641  0.141  0.000
Hf  0.859  0.641  0.000
Al  0.000  0.000  0.500
Al  0.500  0.500  0.500
Sb  0.153  0.653  0.500
Sb  0.347  0.153  0.500
Sb  0.653  0.847  0.500
Sb  0.847  0.347  0.500


Entry 2:
The following is a DFT calculation (PBE-GGA) of Hf2AlSb2 after structural relaxation.

Values from the calculation:
space group: P4/mbm
calculated total energy: -6.63 eV per atom
relative energy among the computed polymorphs: 0 kJ/mol of formula units
formation energy (no corrections): -0.252 eV/atom

a b c (Å): 7.654 7.654 3.886
angles (deg): 90.00 90.00 90.00
Fractional coordinates of all 10 atoms:
Hf  0.149  0.351  0.000
Hf  0.351  0.851  0.000
Hf  0.649  0.149  0.000
Hf  0.851  0.649  0.000
Al  0.000  0.000  0.000
Al  0.500  0.500  0.000
Sb  0.152  0.652  0.500
Sb  0.348  0.152  0.500
Sb  0.652  0.848  0.500
Sb  0.848  0.348  0.500


Entry 3:
The following is a DFT calculation (PBE-GGA) of Hf2Al2Sb after structural relaxation.

Values from the calculation:
space group: P4/mbm
calculated total energy: -6.49 eV per atom
relative energy among the computed polymorphs: 0 kJ/mol of formula units
formation energy (no corrections): -0.184 eV/atom

a b c (Å): 7.296 7.296 4.076
angles (deg): 90.00 90.00 90.00
Fractional coordinates of all 10 atoms:
Hf  0.157  0.343  0.000
Hf  0.343  0.843  0.000
Hf  0.657  0.157  0.000
Hf  0.843  0.657  0.000
Al  0.137  0.637  0.500
Al  0.363  0.137  0.500
Al  0.637  0.863  0.500
Al  0.863  0.363  0.500
Sb  0.000  0.000  0.000
Sb  0.500  0.500  0.000


Entry 4:
The following is a DFT calculation (PBE-GGA) of HfAl2Sb2 after structural relaxation.

Values from the calculation:
space group: I4/mmm
calculated total energy: -5.08 eV per atom
relative energy among the computed polymorphs: 0 kJ/mol of formula units
formation energy (no corrections): 0.060 eV/atom

a b c (Å): 3.777 3.777 15.987
angles (deg): 90.00 90.00 90.00
Fractional coordinates of all 10 atoms:
Hf  0.000  0.000  0.000
Hf  0.500  0.500  0.500
Al  0.000  0.500  0.250
Al  0.000  0.500  0.750
Al  0.500  0.000  0.250
Al  0.500  0.000  0.750
Sb  0.000  0.000  0.403
Sb  0.000  0.000  0.597
Sb  0.500  0.500  0.097
Sb  0.500  0.500  0.903


Entry 5:
The following is a DFT calculation (PBE-GGA) of HfAl3Sb after structural relaxation.

Values from the calculation:
space group: Pm-3m
calculated total energy: -4.10 eV per atom
relative energy among the computed polymorphs: 0 kJ/mol of formula units
formation energy (no corrections): 0.964 eV/atom

a b c (Å): 5.237 5.237 5.237
angles (deg): 90.00 90.00 90.00
Fractional coordinates of all 5 atoms:
Hf  0.000  0.000  0.000
Al  0.000  0.000  0.500
Al  0.000  0.500  0.000
Al  0.500  0.000  0.000
Sb  0.500  0.500  0.500


Entry 6:
The following is a DFT calculation (PBE-GGA) of Hf2Al2Sb after structural relaxation.

Values from the calculation:
space group: P4/mbm
calculated total energy: -6.45 eV per atom
relative energy among the computed polymorphs: 17 kJ/mol of formula units
formation energy (no corrections): -0.149 eV/atom

a b c (Å): 7.181 7.181 3.889
angles (deg): 90.00 90.00 90.00
Fractional coordinates of all 10 atoms:
Hf  0.177  0.323  0.000
Hf  0.323  0.823  0.000
Hf  0.677  0.177  0.000
Hf  0.823  0.677  0.000
Al  0.122  0.622  0.500
Al  0.378  0.122  0.500
Al  0.622  0.878  0.500
Al  0.878  0.378  0.500
Sb  0.000  0.000  0.500
Sb  0.500  0.500  0.500


Entry 7:
The following is a DFT calculation (PBE-GGA) of Hf6AlSb after structural relaxation.

Values from the calculation:
space group: P-1
calculated total energy: -8.65 eV per atom
formation energy (no corrections): -0.200 eV/atom

a b c (Å): 5.533 5.534 5.535
angles (deg): 89.96 89.86 89.91
Fractional coordinates of all 8 atoms:
Hf  0.001  0.000  0.247
Hf  0.247  0.501  0.499
Hf  0.499  0.253  0.000
Hf  0.501  0.747  0.000
Hf  0.753  0.499  0.501
Hf  0.999  0.000  0.753
Al  0.000  0.500  0.000
Sb  0.500  0.000  0.500


Entry 8:
The following is a DFT calculation (PBE-GGA) of HfAlSbTe2 after structural relaxation.

Values from the calculation:
space group: P4/mmm
calculated total energy: -4.68 eV per atom
relative energy among the computed polymorphs: 0 kJ/mol of formula units
formation energy (no corrections): 0.137 eV/atom

a b c (Å): 5.562 5.562 5.577
angles (deg): 90.00 90.00 90.00
Fractional coordinates of all 5 atoms:
Hf  0.000  0.000  0.000
Al  0.500  0.500  0.500
Sb  0.000  0.000  0.500
Te  0.000  0.500  0.000
Te  0.500  0.000  0.000


Entry 9:
The following is a DFT calculation (PBE-GGA) of HfAlSbTe2 after structural relaxation.

Values from the calculation:
space group: P4/mmm
calculated total energy: -4.29 eV per atom
relative energy among the computed polymorphs: 190 kJ/mol of formula units
formation energy (no corrections): 0.532 eV/atom

a b c (Å): 5.257 5.257 5.127
angles (deg): 90.00 90.00 90.00
Fractional coordinates of all 5 atoms:
Hf  0.000  0.000  0.000
Al  0.500  0.500  0.500
Sb  0.500  0.500  0.000
Te  0.000  0.500  0.500
Te  0.500  0.000  0.500


Entry 10:
The following is a DFT calculation (PBE-GGA) of HfAl2ZnSb after structural relaxation.

Values from the calculation:
space group: P4/mmm
calculated total energy: -3.95 eV per atom
formation energy (no corrections): 0.619 eV/atom

a b c (Å): 4.552 4.552 5.506
angles (deg): 90.00 90.00 90.00
Fractional coordinates of all 5 atoms:
Hf  0.000  0.000  0.000
Al  0.000  0.500  0.500
Al  0.500  0.000  0.500
Zn  0.500  0.500  0.500
Sb  0.500  0.500  0.000


Entry 11:
The following is a DFT calculation (PBE-GGA) of Hf2Sc3Al after structural relaxation.

Values from the calculation:
space group: Cmcm
calculated total energy: -7.05 eV per atom
DFT formation energy: 57 meV/atom

a b c (Å): 8.327 8.327 5.672
angles (deg): 90.00 90.00 136.74
Fractional coordinates of all 12 atoms:
Hf  0.247  0.247  0.000
Hf  0.247  0.247  0.500
Hf  0.753  0.753  0.000
Hf  0.753  0.753  0.500
Sc  0.072  0.427  0.750
Sc  0.147  0.853  0.750
Sc  0.427  0.072  0.250
Sc  0.573  0.928  0.750
Sc  0.853  0.147  0.250
Sc  0.928  0.573  0.250
Al  0.355  0.645  0.250
Al  0.645  0.355  0.750


Entry 12:
The following is a DFT calculation (PBE-GGA) of HfScAl2 after structural relaxation.

Values from the calculation:
space group: I4/mmm
calculated total energy: -6.31 eV per atom
DFT formation energy: -367 meV/atom

a b c (Å): 4.316 4.316 8.161
angles (deg): 90.00 90.00 90.00
Fractional coordinates of all 8 atoms:
Hf  0.000  0.000  0.000
Hf  0.500  0.500  0.500
Sc  0.000  0.000  0.500
Sc  0.500  0.500  0.000
Al  0.000  0.500  0.250
Al  0.000  0.500  0.750
Al  0.500  0.000  0.250
Al  0.500  0.000  0.750


- Among the records above, which one has the lowest calculated total energy?
  Hf6AlSb